Below is a geometry-optimized LiGe2MoO6 structure, with properties calculated at the GGA+U level.

a = 5.6086 Å, b = 6.8732 Å, c = 6.8732 Å
α = 85.40°, β = 76.29°, γ = 76.29°
Fractional positions:
Li: 0.2500 0.2397 0.7603
Li: 0.7500 0.7603 0.2397
O: 0.0057 0.6820 0.5945
O: 0.1190 0.6312 0.1248
O: 0.8810 0.3688 0.8752
O: 0.1494 0.9656 0.8020
O: 0.9943 0.3180 0.4055
O: 0.3810 0.8752 0.3688
O: 0.8506 0.0344 0.1980
O: 0.5057 0.5945 0.6820
O: 0.3506 0.1980 0.0344
O: 0.6494 0.8020 0.9656
O: 0.6190 0.1248 0.6312
O: 0.4943 0.4055 0.3180
Ge: 0.2348 0.3930 0.2154
Ge: 0.7652 0.6070 0.7846
Ge: 0.2652 0.7846 0.6070
Ge: 0.7348 0.2154 0.3930
Mo: 0.7500 0.0987 0.9013
Mo: 0.2500 0.9013 0.0987

**Theoretical density**: 4.6 g/cm3
**Raw total energy**: -6.551 eV per atom
**DOS at the Fermi energy**: 0.00 states/eV per cell